{"formula": "La5PmPrDy2", "functional": "PBE-GGA", "state": "optimized geometry", "volume_a3_per_atom": 36.72, "e_tot_ev_per_atom": -4.56, "lattice": [[8.113, 0.000, 0.000], [0.000, 8.113, 0.000], [0.000, 0.000, 10.043]], "species": ["La", "La", "La", "La", "La", "La", "La", "La", "La", "La", "Pm", "Pm", "Pr", "Pr", "Dy", "Dy", "Dy", "Dy"], "fractional_positions": [[0.000, 0.000, 0.000], [0.201, 0.299, 0.261], [0.201, 0.299, 0.739], [0.299, 0.799, 0.261], [0.299, 0.799, 0.739], [0.500, 0.500, 0.000], [0.701, 0.201, 0.261], [0.701, 0.201, 0.739], [0.799, 0.701, 0.261], [0.799, 0.701, 0.739], [0.000, 0.500, 0.500], [0.500, 0.000, 0.500], [0.000, 0.000, 0.500], [0.500, 0.500, 0.500], [0.129, 0.629, 0.000], [0.371, 0.129, 0.000], [0.629, 0.871, 0.000], [0.871, 0.371, 0.000]]}

---

{"formula": "LaPmPr5Dy2", "functional": "PBE-GGA", "state": "optimized geometry", "volume_a3_per_atom": 35.66, "e_tot_ev_per_atom": -4.61, "lattice": [[2.894, -10.309, 0.000], [2.894, 10.309, 0.000], [0.000, 0.000, 10.760]], "species": ["La", "La", "Pm", "Pm", "Pr", "Pr", "Pr", "Pr", "Pr", "Pr", "Pr", "Pr", "Pr", "Pr", "Dy", "Dy", "Dy", "Dy"], "fractional_positions": [[0.085, 0.915, 0.500], [0.915, 0.085, 0.000], [0.301, 0.699, 0.063], [0.699, 0.301, 0.563], [0.023, 0.977, 0.793], [0.111, 0.889, 0.079], [0.205, 0.795, 0.756], [0.220, 0.780, 0.365], [0.484, 0.516, 0.077], [0.516, 0.484, 0.577], [0.780, 0.220, 0.865], [0.795, 0.205, 0.256], [0.889, 0.111, 0.579], [0.977, 0.023, 0.293], [0.383, 0.617, 0.376], [0.387, 0.613, 0.785], [0.613, 0.387, 0.285], [0.617, 0.383, 0.876]]}

---

{"formula": "La4Pm2PrDy", "functional": "PBE-GGA", "state": "optimized geometry", "volume_a3_per_atom": 35.50, "e_tot_ev_per_atom": -4.81, "lattice": [[5.238, 0.000, 0.000], [0.000, 5.268, 0.000], [0.000, 0.000, 10.292]], "species": ["La", "La", "La", "La", "Pm", "Pm", "Pr", "Dy"], "fractional_positions": [[0.000, 0.000, 0.247], [0.000, 0.000, 0.753], [0.500, 0.500, 0.248], [0.500, 0.500, 0.752], [0.000, 0.500, 0.000], [0.500, 0.000, 0.500], [0.000, 0.500, 0.500], [0.500, 0.000, 0.000]]}

---

{"formula": "LaPmPr2Dy", "functional": "PBE-GGA", "state": "optimized geometry", "volume_a3_per_atom": 36.13, "e_tot_ev_per_atom": -4.51, "lattice": [[8.566, 0.000, 0.000], [0.000, 6.644, 0.000], [-0.564, 0.000, 6.349]], "species": ["La", "La", "Pm", "Pm", "Pr", "Pr", "Pr", "Pr", "Dy", "Dy"], "fractional_positions": [[0.000, 0.000, 0.000], [0.000, 0.000, 0.500], [0.000, 0.434, 0.250], [0.000, 0.566, 0.750], [0.311, 0.310, 0.720], [0.311, 0.690, 0.220], [0.689, 0.310, 0.780], [0.689, 0.690, 0.280], [0.500, 0.165, 0.250], [0.500, 0.835, 0.750]]}

---

{"formula": "La2PmPr2Dy", "functional": "PBE-GGA", "state": "optimized geometry", "volume_a3_per_atom": 35.32, "e_tot_ev_per_atom": -4.74, "lattice": [[7.169, 0.000, 0.000], [0.000, 5.844, 0.000], [0.000, 0.000, 10.115]], "species": ["La", "La", "La", "La", "Pm", "Pm", "Pr", "Pr", "Pr", "Pr", "Dy", "Dy"], "fractional_positions": [[0.250, 0.000, 0.164], [0.250, 0.500, 0.669], [0.750, 0.000, 0.836], [0.750, 0.500, 0.331], [0.000, 0.000, 0.500], [0.500, 0.000, 0.500], [0.000, 0.500, 0.000], [0.250, 0.000, 0.828], [0.500, 0.500, 0.000], [0.750, 0.000, 0.172], [0.250, 0.500, 0.337], [0.750, 0.500, 0.663]]}

---

{"formula": "LaPm4Pr2Dy2", "functional": "PBE-GGA", "state": "optimized geometry", "volume_a3_per_atom": 34.48, "e_tot_ev_per_atom": -4.72, "lattice": [[7.759, -2.586, 0.000], [7.759, 2.586, 0.000], [-2.606, 0.000, 7.734]], "species": ["La", "Pm", "Pm", "Pm", "Pm", "Pr", "Pr", "Dy", "Dy"], "fractional_positions": [[0.000, 0.000, 0.000], [0.222, 0.222, 0.331], [0.444, 0.444, 0.668], [0.556, 0.556, 0.332], [0.778, 0.778, 0.669], [0.112, 0.112, 0.667], [0.888, 0.888, 0.333], [0.332, 0.332, 0.000], [0.668, 0.668, 0.000]]}

---

{"formula": "LaPm3PrDy", "functional": "PBE-GGA", "state": "optimized geometry", "volume_a3_per_atom": 34.73, "e_tot_ev_per_atom": -4.74, "lattice": [[8.174, 0.000, 0.000], [0.000, 5.193, 0.000], [-3.267, 0.000, 9.817]], "species": ["La", "La", "Pm", "Pm", "Pm", "Pm", "Pm", "Pm", "Pr", "Pr", "Dy", "Dy"], "fractional_positions": [[0.166, 0.250, 0.290], [0.834, 0.750, 0.710], [0.167, 0.750, 0.544], [0.170, 0.250, 0.794], [0.170, 0.750, 0.040], [0.830, 0.250, 0.960], [0.830, 0.750, 0.206], [0.833, 0.250, 0.456], [0.500, 0.250, 0.628], [0.500, 0.750, 0.372], [0.497, 0.750, 0.878], [0.503, 0.250, 0.122]]}

---

{"formula": "LaPmPrDy2", "functional": "PBE-GGA", "state": "optimized geometry", "volume_a3_per_atom": 36.21, "e_tot_ev_per_atom": -4.40, "lattice": [[4.268, -5.855, 0.000], [4.268, 5.855, 0.000], [0.000, 0.000, 7.244]], "species": ["La", "La", "Pm", "Pm", "Pr", "Pr", "Dy", "Dy", "Dy", "Dy"], "fractional_positions": [[0.234, 0.766, 0.750], [0.766, 0.234, 0.250], [0.222, 0.778, 0.250], [0.778, 0.222, 0.750], [0.500, 0.500, 0.250], [0.500, 0.500, 0.750], [0.187, 0.187, 0.000], [0.187, 0.187, 0.500], [0.813, 0.813, 0.000], [0.813, 0.813, 0.500]]}

---

{"formula": "La2Pm2PrDy", "functional": "PBE-GGA", "state": "optimized geometry", "volume_a3_per_atom": 34.96, "e_tot_ev_per_atom": -4.74, "lattice": [[7.157, 0.000, 0.000], [0.000, 5.811, 0.000], [0.000, 0.000, 10.087]], "species": ["La", "La", "La", "La", "Pm", "Pm", "Pm", "Pm", "Pr", "Pr", "Dy", "Dy"], "fractional_positions": [[0.000, 0.000, 0.000], [0.250, 0.500, 0.170], [0.500, 0.000, 0.000], [0.750, 0.500, 0.830], [0.250, 0.000, 0.332], [0.250, 0.500, 0.834], [0.750, 0.000, 0.668], [0.750, 0.500, 0.166], [0.000, 0.500, 0.500], [0.500, 0.500, 0.500], [0.250, 0.000, 0.663], [0.750, 0.000, 0.337]]}

---

{"formula": "La2Pm2PrDy2", "functional": "PBE-GGA", "state": "optimized geometry", "volume_a3_per_atom": 34.65, "e_tot_ev_per_atom": -4.74, "lattice": [[11.565, 0.000, 0.000], [0.000, 5.162, 0.000], [-1.135, 0.000, 8.127]], "species": ["La", "La", "La", "La", "Pm", "Pm", "Pm", "Pm", "Pr", "Pr", "Dy", "Dy", "Dy", "Dy"], "fractional_positions": [[0.142, 0.000, 0.427], [0.358, 0.500, 0.573], [0.642, 0.500, 0.427], [0.858, 0.000, 0.573], [0.215, 0.500, 0.141], [0.285, 0.000, 0.859], [0.715, 0.000, 0.141], [0.785, 0.500, 0.859], [0.000, 0.000, 0.000], [0.500, 0.500, 0.000], [0.071, 0.500, 0.715], [0.429, 0.000, 0.285], [0.571, 0.000, 0.715], [0.929, 0.500, 0.285]]}